A plane-wave DFT calculation with PBE with a Hubbard U was carried out for NaSrEuMnO6 after structural relaxation.

Results
- Total magnetic moment: 1.0 Bohr magnetons per cell
- Calculated volume: 12.93 Å³/atom
- Total DFT energy (no corrections): -6.749 eV per atom
- Space group: F-43m, No. 216

```
data_NaSrEuMnO6
_symmetry_space_group_name_H-M 'P 1'
_symmetry_Int_Tables_number 1
_cell_length_a 5.675
_cell_length_b 5.675
_cell_length_c 5.675
_cell_angle_alpha 60.00
_cell_angle_beta 60.00
_cell_angle_gamma 60.00
loop_
_symmetry_equiv_pos_as_xyz
'x,y,z'
loop_
_atom_site_label
_atom_site_fract_x
_atom_site_fract_y
_atom_site_fract_z
Na1 0.500 0.500 0.500
Sr1 0.750 0.750 0.750
Eu1 0.250 0.250 0.250
Mn1 0.000 0.000 0.000
O1 0.233 0.767 0.233
O2 0.767 0.233 0.767
O3 0.233 0.767 0.767
O4 0.767 0.233 0.233
O5 0.233 0.233 0.767
O6 0.767 0.767 0.233
```